No. 1
Density functional theory data (PBE+U) for Ca2NiMoO6 after structural relaxation.

Properties
As for the energy: -6.348 eV per atom. The value obtained for the total magnetic moment is 1.99 μB per formula unit. The density is 4.33 g/cm³.

Lattice parameters (Å, degrees): 5.501 5.501 4.189 90.00 90.00 90.00
Fractional positions:
1 Ca 0.000 0.500 0.000
2 Ca 0.500 0.000 0.000
3 Ni 0.000 0.000 0.604
4 Mo 0.500 0.500 0.556
5 O 0.000 0.000 0.115
6 O 0.262 0.262 0.642
7 O 0.262 0.738 0.642
8 O 0.500 0.500 0.119
9 O 0.738 0.262 0.642
10 O 0.738 0.738 0.642

No. 2
Density functional theory data (PBE+U) for CaNiMo2O8 after structural relaxation.

Properties
Its density of states at the Fermi level is 6.5 states/eV per cell. As for the energy: -6.478 eV per atom. The value obtained for the total magnetic moment is 2.00 μB per formula unit. The density is 4.07 g/cm³.

Lattice parameters (Å, degrees): 6.059 6.059 6.059 108.12 108.12 112.21
Fractional positions:
1 Ca 0.000 0.000 0.000
2 Ni 0.250 0.750 0.500
3 Mo 0.500 0.500 0.000
4 Mo 0.750 0.250 0.500
5 O 0.340 0.136 0.796
6 O 0.340 0.544 0.204
7 O 0.390 0.087 0.303
8 O 0.456 0.660 0.796
9 O 0.784 0.087 0.697
10 O 0.864 0.660 0.204
11 O 0.913 0.216 0.303
12 O 0.913 0.610 0.697